Compound: Zr2MnSe2
Source: the Alexandria database
Functional: PBE
Structure: relaxed

POSCAR file:
```
Zr2MnSe2
1.0
5.4473 0.0000 -0.0158
0.0000 3.7546 0.0000
-2.5887 0.0000 9.5193
Mn Zr Se
2 4 4
Direct
0.8352 0.5000 0.2184 Mn
0.8352 0.0000 0.7184 Mn
0.9441 0.5000 0.9162 Zr
0.9441 0.0000 0.4162 Zr
0.3974 0.5000 0.2815 Zr
0.3974 0.0000 0.7815 Zr
0.0531 0.0000 0.1420 Se
0.4842 0.0000 0.4963 Se
0.4842 0.5000 0.9963 Se
0.0531 0.5000 0.6420 Se
```

Calculated values
* formation energy from raw total energies: -764.9 meV per atom
* distance to the lowest polymorph of the same formula: 90.1 meV/atom
* total moment: 2.6 μB per cell
* space-group type: No. 8
* DOS at the Fermi energy: 5.83 states/eV per cell